Computed, not measured: a crystal of LiLa2Te2 relaxed with PBEsol at the meta-GGA SCAN level of DFT.

The calculation puts the final energy at -339.2 eV/cell. As for the density of states at the Fermi level: 0.299 states/eV per atom.

The structure belongs to space group P4/mbm (No. 127); the cell edges are 8.310, 8.310 and 4.248 Å and the angles 90.00°, 90.00° and 90.00°. Symmetry generates all atoms from Li at (0.000, 0.000, 0.000), La at (0.153, 0.347, 0.500) and Te at (0.150, 0.650, 0.000).